(1)
## BaMgZr2 (GGA-PBE)

Data for an optimized crystal structure of BaMgZr2.

The total magnetization is 0.000 μB per atom. As for the density: 5.2 g cm⁻³. Its energy relative to the elements is 0.4881 eV per atom. As for the density of states at the Fermi level: 5.936 states/eV/cell.

Cell: 3.424 5.669 5.634 Å, 90.00 90.00 90.00°
Sites, in units of the cell vectors:
Mg 0.000 0.500 0.500
Zr 0.500 0.500 0.000
Zr 0.000 0.000 0.000
Ba 0.500 0.000 0.500

=====

(2)
## BaMgZr2 (GGA-PBE)

Data for an optimized crystal structure of BaMgZr2.

The total magnetization is 0.000 μB per atom. As for the density: 5.3 g cm⁻³. Its energy relative to the elements is 0.5037 eV per atom. As for the density of states at the Fermi level: 3.745 states/eV/cell.

Cell: 3.189 3.189 11.945 Å, 90.00 90.00 116.62°
Sites, in units of the cell vectors:
Ba 0.500 0.500 0.250
Mg 0.500 0.500 0.750
Zr 0.000 0.000 0.977
Zr 0.000 0.000 0.523

=====

(3)
## BaMgZr2 (GGA-PBE)

Data for an optimized crystal structure of BaMgZr2.

The total magnetization is 0.000 μB per atom. As for the density: 4.9 g cm⁻³. Its energy relative to the elements is 0.2093 eV per atom. As for the density of states at the Fermi level: 3.430 states/eV/cell.

Cell: 3.342 3.342 10.361 Å, 90.00 90.00 90.00°
Sites, in units of the cell vectors:
Zr 0.500 0.500 0.201
Zr 0.000 0.000 0.006
Mg 0.500 0.500 0.787
Ba 0.000 0.000 0.506

=====

(4)
## BaMg14Zr (GGA-PBE)

Data for an optimized crystal structure of BaMg14Zr.

The total magnetization is 0.000 μB per atom. As for the density: 2.4 g cm⁻³. Its energy relative to the elements is 0.1039 eV per atom. As for the density of states at the Fermi level: 9.366 states/eV/cell.

Cell: 6.613 6.613 10.629 Å, 90.00 90.00 121.33°
Sites, in units of the cell vectors:
Mg 0.158 0.842 0.230
Mg 0.342 0.174 0.000
Mg 0.836 0.164 0.000
Mg 0.158 0.842 0.770
Mg 0.333 0.667 0.000
Zr 0.849 0.151 0.500
Mg 0.167 0.325 0.242
Mg 0.675 0.833 0.758
Mg 0.675 0.833 0.242
Mg 0.678 0.322 0.260
Mg 0.810 0.662 0.500
Mg 0.826 0.658 0.000
Mg 0.167 0.325 0.758
Mg 0.678 0.322 0.740
Mg 0.338 0.190 0.500
Ba 0.310 0.690 0.500